Below is NdTlBiAu after structural relaxation, with properties calculated at the GGA-PBE level.

abc: 7.7049 7.7049 7.7049
angles: 90.00 90.00 90.00
Space group F-43m (No. 216)
One atom of each set of equivalent atoms:
Nd  0.0000  0.0000  0.0000 [4 per cell]
Tl  0.0000  0.0000  0.5000 [4 per cell]
Bi  0.2500  0.2500  0.2500 [4 per cell]
Au  0.2500  0.2500  0.7500 [4 per cell]

uncorrected energy: -3.94 eV/atom
D(E_F): 3.65 states/eV/f.u.
DFT formation energy: -1.45 eV/f.u.